PBE PmPr6In4, relaxed; calculated volume = 390 Å³ per cell; symmetry = I-42m; electronic total energy = -46.06 eV per cell
1.0
8.2809 -0.3319 -0.4881
-4.1229 7.1892 0.4881
-4.1229 -2.1893 6.8651
Pm Pr In
1 6 4
Direct
0.0000 0.0000 0.0000
0.0000 0.9080 0.5294
0.5000 0.5000 0.0000
0.6213 0.0920 0.0920
0.0000 0.5294 0.9080
0.5000 0.0000 0.5000
0.3787 0.4706 0.4706
0.3183 0.7240 0.7240
0.0000 0.5943 0.2760
0.6817 0.4057 0.4057
0.0000 0.2760 0.5943